Entry P
A relaxed TaV4Ga crystal, computed with PBE-GGA.

a = 4.9980 Å, b = 4.9980 Å, c = 4.9980 Å
α = 60.00°, β = 60.00°, γ = 60.00°
Last column: nearest neighbours and their distance in Å.
Fractional positions:
V: 0.6229 0.6229 0.6229  6 V 2.46-2.54
V: 0.1313 0.6229 0.6229  6 V 2.46-2.54
V: 0.6229 0.6229 0.1313  6 V 2.46-2.54
V: 0.6229 0.1313 0.6229  6 V 2.46-2.54
Ga: 0.0000 0.0000 0.0000  12 V 2.93, 4 Ta 3.06
Ta: 0.2500 0.2500 0.2500  12 V 2.93, 4 Ga 3.06

Computed properties:
* space group: No. 216
* calculated volume: 14.71 Å³/atom

***

Entry Q
A relaxed TaV4Ga crystal, computed with PBE-GGA.

a = 2.5808 Å, b = 4.6742 Å, c = 7.9506 Å
α = 85.06°, β = 80.66°, γ = 73.97°
Last column: nearest neighbours and their distance in Å.
Fractional positions:
Ta: 0.5000 0.5000 0.5000  2 Ta 2.58, 8 V 2.69-2.80
V: 0.6595 0.5245 0.1564  7 V 2.58-2.87, 1 Ta 2.69, 3 Ga 2.70-2.74
V: 0.8387 0.9867 0.3358  7 V 2.58-2.89, 1 Ga 2.63, 3 Ta 2.69-2.80
V: 0.1613 0.0133 0.6642  7 V 2.58-2.89, 1 Ga 2.63, 3 Ta 2.69-2.80
V: 0.3405 0.4755 0.8436  7 V 2.58-2.87, 1 Ta 2.69, 3 Ga 2.70-2.74
Ga: 0.0000 0.0000 0.0000  2 Ga 2.58, 8 V 2.63-2.74

Computed properties:
* space group: No. 12
* calculated volume: 15.15 Å³/atom

***

Entry R
A relaxed TaV4Ga crystal, computed with PBE-GGA.

a = 4.3694 Å, b = 4.3275 Å, c = 5.1071 Å
α = 90.00°, β = 115.33°, γ = 90.00°
Last column: nearest neighbours and their distance in Å.
Fractional positions:
V: 0.8190 0.5000 0.6381  4 V 2.52-2.53, 2 Ga 2.73, 2 Ta 2.75
V: 0.6794 0.0000 0.3588  4 V 2.52-2.54, 2 Ta 2.72, 2 Ga 2.74
V: 0.3206 0.0000 0.6412  4 V 2.52-2.54, 2 Ta 2.72, 2 Ga 2.74
V: 0.1810 0.5000 0.3619  4 V 2.52-2.53, 2 Ga 2.73, 2 Ta 2.75
Ta: 0.5000 0.5000 0.0000  10 V 2.72-2.95
Ga: 0.0000 0.0000 0.0000  10 V 2.73-2.96

Computed properties:
* space group: No. 65
* calculated volume: 14.55 Å³/atom

***

Least stable = entry Q

***

Entry P
A relaxed TaGaW3 crystal, computed with PBE-GGA.

a = 4.8009 Å, b = 4.8009 Å, c = 4.8009 Å
α = 90.00°, β = 90.00°, γ = 90.00°
Last column: nearest neighbours and their distance in Å.
Fractional positions:
W: 0.0000 0.0000 0.5000  2 Ta 2.40
W: 0.5000 0.0000 0.0000  2 Ta 2.40
W: 0.0000 0.5000 0.0000  2 Ta 2.40
Ta: 0.0000 0.0000 0.0000  6 W 2.40
Ga: 0.5000 0.5000 0.5000  12 W 3.39

Computed properties:
* space group: No. 221
* calculated volume: 22.13 Å³/atom

***

Entry Q
A relaxed TaGaW3 crystal, computed with PBE-GGA.

a = 4.5575 Å, b = 4.5575 Å, c = 4.5575 Å
α = 90.00°, β = 90.00°, γ = 90.00°
Last column: nearest neighbours and their distance in Å.
Fractional positions:
Ga: 0.0000 0.0000 0.0000  6 W 2.28
W: 0.0000 0.0000 0.5000  2 Ga 2.28
W: 0.0000 0.5000 0.0000  2 Ga 2.28
W: 0.5000 0.0000 0.0000  2 Ga 2.28
Ta: 0.5000 0.5000 0.5000  12 W 3.22

Computed properties:
* space group: No. 221
* calculated volume: 18.93 Å³/atom

***

Least stable = entry P

***

Entry P
A relaxed Ta3GaW crystal, computed with PBE-GGA.

a = 4.6581 Å, b = 4.6581 Å, c = 4.6581 Å
α = 90.00°, β = 90.00°, γ = 90.00°
Last column: nearest neighbours and their distance in Å.
Fractional positions:
Ta: 0.5000 0.0000 0.0000  2 Ga 2.33
Ta: 0.0000 0.0000 0.5000  2 Ga 2.33
Ta: 0.0000 0.5000 0.0000  2 Ga 2.33
Ga: 0.0000 0.0000 0.0000  6 Ta 2.33
W: 0.5000 0.5000 0.5000  12 Ta 3.29

Computed properties:
* space group: No. 221
* calculated volume: 20.21 Å³/atom

***

Entry Q
A relaxed Ta3GaW crystal, computed with PBE-GGA.

a = 4.8726 Å, b = 4.8726 Å, c = 4.8726 Å
α = 90.00°, β = 90.00°, γ = 90.00°
Last column: nearest neighbours and their distance in Å.
Fractional positions:
Ta: 0.0000 0.5000 0.0000  2 W 2.44
Ta: 0.5000 0.0000 0.0000  2 W 2.44
Ta: 0.0000 0.0000 0.5000  2 W 2.44
Ga: 0.5000 0.5000 0.5000  12 Ta 3.45
W: 0.0000 0.0000 0.0000  6 Ta 2.44

Computed properties:
* space group: No. 221
* calculated volume: 23.14 Å³/atom

***

Least stable = entry Q

***

Entry P
A relaxed TaGa2W crystal, computed with PBE-GGA.

a = 7.0654 Å, b = 7.0654 Å, c = 5.7131 Å
α = 51.80°, β = 51.80°, γ = 90.00°
Last column: nearest neighbours and their distance in Å.
Fractional positions:
W: 0.0000 0.0000 0.0000  4 Ga 2.56, 2 Ta 2.77
W: 0.7500 0.2500 0.5000  4 Ga 2.56, 2 Ta 2.77
Ta: 0.5000 0.5000 0.0000  4 Ga 2.63, 2 W 2.77
Ta: 0.2500 0.7500 0.5000  4 Ga 2.63, 2 W 2.77
Ga: 0.1181 0.6250 0.2500  2 W 2.56, 2 Ta 2.63, 2 Ga 2.77
Ga: 0.3750 0.3681 0.7500  2 W 2.56, 2 Ta 2.63, 2 Ga 2.77
Ga: 0.6319 0.1250 0.2500  2 W 2.56, 2 Ta 2.63, 2 Ga 2.77
Ga: 0.8750 0.8819 0.7500  2 W 2.56, 2 Ta 2.63, 2 Ga 2.77

Computed properties:
* space group: No. 122
* calculated volume: 17.29 Å³/atom

***

Entry Q
A relaxed TaGa2W crystal, computed with PBE-GGA.

a = 4.4793 Å, b = 4.4793 Å, c = 4.4793 Å
α = 60.00°, β = 60.00°, γ = 60.00°
Last column: nearest neighbours and their distance in Å.
Fractional positions:
Ta: 0.0000 0.0000 0.0000  8 Ga 2.74
Ga: 0.2500 0.2500 0.2500  4 W 2.74, 4 Ta 2.74
Ga: 0.7500 0.7500 0.7500  4 W 2.74, 4 Ta 2.74
W: 0.5000 0.5000 0.5000  8 Ga 2.74

Computed properties:
* space group: No. 225
* calculated volume: 15.89 Å³/atom

***

Least stable = entry P

***

Entry P
A relaxed Ta2ZnGa2 crystal, computed with PBE-GGA.

a = 6.4920 Å, b = 6.4920 Å, c = 3.8690 Å
α = 90.00°, β = 90.00°, γ = 90.00°
Last column: nearest neighbours and their distance in Å.
Fractional positions:
Ga: 0.8684 0.6316 0.0000  1 Ga 2.42, 2 Zn 2.54, 2 Ta 2.64
Ga: 0.6316 0.1316 0.0000  1 Ga 2.42, 2 Zn 2.54, 2 Ta 2.64
Ga: 0.3684 0.8684 0.0000  1 Ga 2.42, 2 Zn 2.54, 2 Ta 2.64
Ga: 0.1316 0.3684 0.0000  1 Ga 2.42, 2 Zn 2.54, 2 Ta 2.64
Ta: 0.8270 0.3270 0.5000  6 Ga 2.64-2.78
Ta: 0.3270 0.1730 0.5000  6 Ga 2.64-2.78
Ta: 0.6730 0.8270 0.5000  6 Ga 2.64-2.78
Ta: 0.1730 0.6730 0.5000  6 Ga 2.64-2.78
Zn: 0.0000 0.0000 0.0000  4 Ga 2.54
Zn: 0.5000 0.5000 0.0000  4 Ga 2.54

Computed properties:
* space group: No. 127
* calculated volume: 16.31 Å³/atom

***

Entry Q
A relaxed Ta2ZnGa2 crystal, computed with PBE-GGA.

a = 7.0023 Å, b = 7.0023 Å, c = 3.6455 Å
α = 90.00°, β = 90.00°, γ = 90.00°
Last column: nearest neighbours and their distance in Å.
Fractional positions:
Ta: 0.6362 0.1362 0.0000  6 Ga 2.68-2.80, 1 Ta 2.70, 2 Zn 2.72
Ta: 0.8638 0.6362 0.0000  6 Ga 2.68-2.80, 1 Ta 2.70, 2 Zn 2.72
Ta: 0.3638 0.8638 0.0000  6 Ga 2.68-2.80, 1 Ta 2.70, 2 Zn 2.72
Ta: 0.1362 0.3638 0.0000  6 Ga 2.68-2.80, 1 Ta 2.70, 2 Zn 2.72
Ga: 0.8342 0.3342 0.5000  6 Ta 2.68-2.80
Ga: 0.1658 0.6658 0.5000  6 Ta 2.68-2.80
Ga: 0.6658 0.8342 0.5000  6 Ta 2.68-2.80
Ga: 0.3342 0.1658 0.5000  6 Ta 2.68-2.80
Zn: 0.0000 0.0000 0.0000  4 Ta 2.72
Zn: 0.5000 0.5000 0.0000  4 Ta 2.72

Computed properties:
* space group: No. 127
* calculated volume: 17.87 Å³/atom

***

Least stable = entry Q

***

Entry P
A relaxed TaZnGa3 crystal, computed with PBE-GGA.

a = 5.0956 Å, b = 5.0956 Å, c = 5.0956 Å
α = 90.00°, β = 90.00°, γ = 90.00°
Last column: nearest neighbours and their distance in Å.
Fractional positions:
Ta: 0.0000 0.0000 0.0000  6 Ga 2.55
Zn: 0.5000 0.5000 0.5000  12 Ga 3.60
Ga: 0.0000 0.5000 0.0000  2 Ta 2.55
Ga: 0.5000 0.0000 0.0000  2 Ta 2.55
Ga: 0.0000 0.0000 0.5000  2 Ta 2.55

Computed properties:
* space group: No. 221
* calculated volume: 26.46 Å³/atom

***

Entry Q
A relaxed TaZnGa3 crystal, computed with PBE-GGA.

a = 4.6390 Å, b = 4.6390 Å, c = 4.6390 Å
α = 90.00°, β = 90.00°, γ = 90.00°
Last column: nearest neighbours and their distance in Å.
Fractional positions:
Ta: 0.5000 0.5000 0.5000  12 Ga 3.28
Ga: 0.0000 0.0000 0.5000  2 Zn 2.32
Ga: 0.0000 0.5000 0.0000  2 Zn 2.32
Ga: 0.5000 0.0000 0.0000  2 Zn 2.32
Zn: 0.0000 0.0000 0.0000  6 Ga 2.32

Computed properties:
* space group: No. 221
* calculated volume: 19.97 Å³/atom

***

Least stable = entry Q